DFT (GGA+U) results for crystalline KRb2VO4 at its relaxed geometry.

raw total energy: -5.72 eV per atom
total magnetization: 0.1 μB per formula unit

a = 6.2945 Å, b = 8.2221 Å, c = 6.5229 Å
α = 90.00°, β = 90.00°, γ = 90.00°
With the nearest neighbours (Å) after each atom.
Positions (direct):
K 0.2500 0.2500 0.2417  4 O 2.62-2.72
K 0.7500 0.7500 0.7583  4 O 2.62-2.72
Rb 0.2500 0.0052 0.7274  5 O 2.82-3.08
Rb 0.2500 0.4948 0.7274  5 O 2.82-3.08
Rb 0.7500 0.5052 0.2726  5 O 2.82-3.08
Rb 0.7500 0.9948 0.2726  5 O 2.82-3.08
V 0.2500 0.7500 0.2977  4 O 1.75
V 0.7500 0.2500 0.7023  4 O 1.75
O 0.0261 0.7500 0.4579  1 V 1.75
O 0.2500 0.5731 0.1488  1 V 1.75
O 0.2500 0.9269 0.1488  1 V 1.75
O 0.4739 0.7500 0.4579  1 V 1.75
O 0.5261 0.2500 0.5421  1 V 1.75
O 0.7500 0.0731 0.8512  1 V 1.75
O 0.7500 0.4269 0.8512  1 V 1.75
O 0.9739 0.2500 0.5421  1 V 1.75